Density functional theory data (meta-GGA SCAN) for a PBEsol-optimized structure of SrY2MgGe.

Summary:
Total moment: 0.005 Bohr magnetons per cell
Energy: -102.70 eV per cell
DFT formation energy: -0.14 eV/atom
Crystal system: tetragonal
Space-group type: P4/mmm, No. 123

a b c (Å): 5.2183 5.5562 5.5562
angles (deg): 90.00 90.00 90.00
Sites, in units of the cell vectors:
Y1 0.0000 0.0000 0.5000
Y2 0.0000 0.5000 0.0000
Sr1 0.5000 0.5000 0.5000
Ge1 0.0000 0.0000 0.0000
Mg1 0.5000 0.0000 0.0000